(1)
First-principles (PBEsol) data for a geometry-optimized InTeW2 structure, as listed in Alexandria.

## Properties
D(E_F) (states/eV/atom): 0.853
Crystal system: monoclinic
SG: No. 10
Polymorph energy (0 for the lowest one) (eV/atom): 0.092

abc: 2.920 4.625 5.752
angles: 90.00 90.32 90.00
Fractional positions:
In: 0.000 0.000 0.000
Te: 0.500 0.000 0.500
W: 0.380 0.500 0.210
W: 0.620 0.500 0.790


(2)
First-principles (PBEsol) data for a geometry-optimized In2TeW structure, as listed in Alexandria.

## Properties
D(E_F) (states/eV/atom): 1.132
Crystal system: tetragonal
SG: No. 139

abc: 5.634 5.634 5.634
angles: 136.50 136.50 63.21
Fractional positions:
In: 0.250 0.750 0.500
In: 0.750 0.250 0.500
Te: 0.000 0.000 0.000
W: 0.500 0.500 0.000


(3)
First-principles (PBEsol) data for a geometry-optimized InTeW2 structure, as listed in Alexandria.

## Properties
D(E_F) (states/eV/atom): 0.883
Crystal system: monoclinic
SG: No. 12
Polymorph energy (0 for the lowest one) (eV/atom): 0.000

abc: 4.826 4.826 5.238
angles: 99.58 99.58 37.43
Fractional positions:
In: 0.000 0.000 0.000
Te: 0.500 0.500 0.500
W: 0.251 0.251 0.744
W: 0.749 0.749 0.256


(4)
First-principles (PBEsol) data for a geometry-optimized InTeW2 structure, as listed in Alexandria.

## Properties
D(E_F) (states/eV/atom): 0.807
Crystal system: orthorhombic
SG: No. 47
Polymorph energy (0 for the lowest one) (eV/atom): 0.168

abc: 3.340 4.605 4.833
angles: 90.00 90.00 90.00
Fractional positions:
In: 0.000 0.000 0.000
Te: 0.500 0.000 0.500
W: 0.000 0.500 0.500
W: 0.500 0.500 0.000


(5)
First-principles (PBEsol) data for a geometry-optimized YInTe2 structure, as listed in Alexandria.

## Properties
D(E_F) (states/eV/atom): 0.043
Crystal system: orthorhombic
SG: No. 38

abc: 4.497 6.191 6.191
angles: 39.86 90.00 90.00
Fractional positions:
Y: 0.000 0.000 0.000
In: 0.500 0.811 0.811
Te: 0.000 0.291 0.291
Te: 0.500 0.567 0.567


(6)
First-principles (PBEsol) data for a geometry-optimized YIn3Te structure, as listed in Alexandria.

## Properties
D(E_F) (states/eV/atom): 0.640
Crystal system: cubic
SG: No. 221

abc: 5.521 5.521 5.521
angles: 90.00 90.00 90.00
Fractional positions:
Y: 0.000 0.000 0.000
In: 0.000 0.500 0.500
In: 0.500 0.000 0.500
In: 0.500 0.500 0.000
Te: 0.500 0.500 0.500


(7)
First-principles (PBEsol) data for a geometry-optimized YInTe2 structure, as listed in Alexandria.

## Properties
D(E_F) (states/eV/atom): 0.106
Crystal system: orthorhombic
SG: No. 44

abc: 8.499 8.499 8.499
angles: 153.45 151.61 39.26
Fractional positions:
Y: 0.000 0.000 0.000
In: 0.261 0.761 0.500
Te: 0.574 0.574 0.000
Te: 0.856 0.356 0.500


(8)
First-principles (PBEsol) data for a geometry-optimized YInTe2 structure, as listed in Alexandria.

## Properties
D(E_F) (states/eV/atom): 0.235
Crystal system: tetragonal
SG: No. 119

abc: 6.251 6.251 6.251
angles: 138.22 138.22 60.56
Fractional positions:
Y: 0.000 0.000 0.000
In: 0.750 0.250 0.500
Te: 0.250 0.750 0.500
Te: 0.500 0.500 0.000


| no. | raw formation energy (eV per atom) | VASP energy (eV per atom) |
| --- | --- | --- |
| 1 | 0.901 | -7.630 |
| 2 | 0.795 | -5.030 |
| 3 | 0.810 | -7.721 |
| 4 | 0.978 | -7.553 |
| 5 | -0.967 | -5.181 |
| 6 | 0.528 | -3.331 |
| 7 | -0.836 | -5.050 |
| 8 | -0.713 | -4.927 |